Entry 1:
Material: Te3Pt
Method: DFT, PBE
State: optimized geometry

```
Te3Pt
1.0
5.273 0.000 0.000
0.000 5.273 0.000
0.000 0.000 3.446
Te Pt
3 1
Direct
0.000 0.000 0.000
0.000 0.500 0.500
0.500 0.000 0.500
0.500 0.500 0.000
```

Results
The value obtained for the total magnetization is 0.0 Bohr magnetons per cell. For the formation energy (no corrections), the calculation gives 0.422 eV/atom. The final energy comes out at -3.444 eV/atom. The symmetry is P4/mmm. The density of states at the Fermi level comes out at 0.77 states/eV/atom.

---

Entry 2:
Material: BaCaMg2Ga2
Method: DFT, PBE
State: optimized geometry

```
BaCaMg2Ga2
1.0
4.920 0.000 0.000
-2.460 4.261 0.000
0.000 0.000 8.157
Ba Ca Mg Ga
1 1 2 2
Direct
0.000 0.000 0.000
0.000 0.000 0.500
0.333 0.667 0.687
0.667 0.333 0.313
0.333 0.667 0.299
0.667 0.333 0.701
```

Results
The value obtained for the total magnetization is 0.0 Bohr magnetons per cell. The formation energy comes out at -0.30 eV per atom. The final energy comes out at -2.496 eV/atom. The symmetry is P-3m1. The density of states at the Fermi level comes out at 0.71 states/eV/atom.

---

Entry 3:
Material: CaMg3N
Method: DFT, PBE
State: optimized geometry

```
CaMg3N
1.0
6.475 0.000 0.000
0.000 6.475 0.000
0.000 0.000 6.475
Ca Mg N
1 3 1
Direct
0.000 0.000 0.000
0.000 0.000 0.500
0.000 0.500 0.000
0.500 0.000 0.000
0.500 0.500 0.500
```

Results
The value obtained for the total magnetization is 2.2 Bohr magnetons per cell. The value obtained for the relative energy among the computed polymorphs is 169.5 kJ per mole of atoms. For the formation energy (no corrections), the calculation gives 1.755 eV/atom. The final energy comes out at -1.267 eV/atom. The symmetry is Pm-3m. The density of states at the Fermi level comes out at 1.26 states/eV/atom.

---

Entry 4:
Material: Sc5Tl2H2
Method: DFT, PBE
State: optimized geometry

```
Sc5Tl2H2
1.0
5.554 -2.432 0.000
5.554 2.432 0.000
-0.775 0.000 6.198
Sc Tl H
5 2 2
Direct
0.000 0.000 0.000
0.150 0.150 0.558
0.316 0.316 0.120
0.684 0.684 0.880
0.850 0.850 0.442
0.421 0.421 0.696
0.579 0.579 0.304
0.166 0.166 0.889
0.834 0.834 0.111
```

Results
The value obtained for the total magnetization is 0.0 Bohr magnetons per cell. The final energy comes out at -5.092 eV/atom. The symmetry is C2/m. The density of states at the Fermi level comes out at 0.90 states/eV/atom.

---

> final energy of number 1 (Te3Pt)?

-3.444 eV/atom

---

> Which value of final energy does entry 3 give?

-1.267 eV/atom

---

> The highest final energy belongs to which entry?

CaMg3N

---

> final energy of number 1 (Te3Pt)?

-3.444 eV/atom